[1]
A plane-wave DFT calculation with PBE was carried out for an optimized crystal structure of SiAg2Hg.

As for the volume: 75.0 Å³/cell.

It has space group P4/mmm (No. 123), with a = 2.9685 Å, b = 2.9685 Å, c = 8.5134 Å, α = 90.00°, β = 90.00° and γ = 90.00°. The inequivalent atoms are Si at (0.0000, 0.0000, 0.0000), Ag at (0.5000, 0.5000, 0.2230) and Hg at (0.0000, 0.0000, 0.5000).

---

[2]
A plane-wave DFT calculation with PBE was carried out for an optimized crystal structure of SiAg2Hg.

As for the volume: 151.4 Å³/cell.

It has space group Immm (No. 71), with a = 3.0065 Å, b = 5.2827 Å, c = 9.5301 Å, α = 90.00°, β = 90.00° and γ = 90.00°. The inequivalent atoms are Si at (0.0000, 0.0000, 0.0000), Ag at (0.0000, 0.5000, 0.2712) and Hg at (0.0000, 0.0000, 0.5000).

---

[3]
A plane-wave DFT calculation with PBE was carried out for an optimized crystal structure of Si2AgHg2.

As for the volume: 204.7 Å³/cell.

It has space group I4/mmm (No. 139), with a = 3.4406 Å, b = 3.4406 Å, c = 17.2950 Å, α = 90.00°, β = 90.00° and γ = 90.00°. The inequivalent atoms are Si at (0.0000, 0.5000, 0.2500), Ag at (0.0000, 0.0000, 0.0000) and Hg at (0.0000, 0.0000, 0.3979).

---

[4]
A plane-wave DFT calculation with PBE was carried out for an optimized crystal structure of SiAg2Hg.

As for the volume: 154.3 Å³/cell.

It has space group C2/m (No. 12), with a = 8.9336 Å, b = 2.9120 Å, c = 6.0975 Å, α = 90.00°, β = 103.44° and γ = 90.00°. The inequivalent atoms are Si at (0.0000, 0.0000, 0.0000), Ag at (0.2419, 0.5000, 0.2134) and Hg at (0.0000, 0.5000, 0.5000).

---

[5]
A plane-wave DFT calculation with PBE was carried out for an optimized crystal structure of SiAg2Hg2.

As for the volume: 210.6 Å³/cell.

It has space group P4/mbm (No. 127), with a = 6.8865 Å, b = 6.8865 Å, c = 4.4403 Å, α = 90.00°, β = 90.00° and γ = 90.00°. The inequivalent atoms are Si at (0.0000, 0.0000, 0.0000), Ag at (0.1541, 0.3459, 0.0000) and Hg at (0.1557, 0.6557, 0.5000).

---

[6]
A plane-wave DFT calculation with PBE was carried out for an optimized crystal structure of SiAg2Hg.

As for the volume: 149.4 Å³/cell.

It has space group I4/mmm (No. 139), with a = 4.2148 Å, b = 4.2148 Å, c = 8.4116 Å, α = 90.00°, β = 90.00° and γ = 90.00°. The inequivalent atoms are Si at (0.0000, 0.0000, 0.0000), Ag at (0.0000, 0.5000, 0.2500) and Hg at (0.0000, 0.0000, 0.5000).

---

| no. | formation energy without anion corrections (kJ/mol of atoms) | VASP energy (eV per atom) |
| --- | --- | --- |
| 1 | 25 | -2.602 |
| 2 | 27 | -2.572 |
| 3 | 29 | -2.560 |
| 4 | 26 | -2.592 |
| 5 | 33 | -2.008 |
| 6 | 29 | -2.557 |